Record 1
Here is a crystal of Pb5S2I6 relaxed with PBEsol from Alexandria. Energies are from meta-GGA SCAN.

crystal system	monoclinic
E	-48.188	eV per atom
uncorrected formation energy	-0.602	eV per atom
size of the total moment	0.00	μB/f.u.

a = 14.2509 Å, b = 4.3899 Å, c = 14.4850 Å
α = 90.00°, β = 98.13°, γ = 90.00°
Last column: nearest neighbours and their distance in Å.
Space group C2/m (No. 12)
Symmetry-distinct sites (fractional):
Pb  0.0000  0.0000  0.0000 [2 per cell]  6 I 3.18-3.20
Pb  0.1254  0.0000  0.4627 [4 per cell]  3 S 2.72-2.77
Pb  0.2132  0.0000  0.7622 [4 per cell]  1 S 2.71
S  0.2196  0.5000  0.4041 [4 per cell]  4 Pb 2.71-2.77
I  0.0725  0.5000  0.6424 [4 per cell]  4 Pb 3.30-3.57
I  0.1209  0.0000  0.2036 [4 per cell]  3 Pb 3.20-3.21
I  0.1373  0.5000  0.9337 [4 per cell]  2 Pb 3.18

=====

Record 2
Here is a crystal of SrSi2Se relaxed with PBEsol from Alexandria. Energies are from meta-GGA SCAN.

crystal system	tetragonal
E	-15.689	eV per atom
uncorrected formation energy	-0.092	eV per atom
size of the total moment	0.00	μB/f.u.

a = 4.0319 Å, b = 4.0319 Å, c = 10.6918 Å
α = 90.00°, β = 90.00°, γ = 90.00°
Last column: nearest neighbours and their distance in Å.
Space group I4/mmm (No. 139)
Symmetry-distinct sites (fractional):
Sr  0.0000  0.0000  0.0000 [2 per cell]  4 Se 2.85
Si  0.0000  0.5000  0.2500 [4 per cell]  4 Si 2.85
Se  0.0000  0.0000  0.5000 [2 per cell]  4 Sr 2.85

=====

Record 3
Here is a crystal of LaZr4P relaxed with PBEsol from Alexandria. Energies are from meta-GGA SCAN.

crystal system	cubic
E	-28.949	eV per atom
size of the total moment	0.00	μB/f.u.
formation energy	0.43	eV/atom

a = 8.1631 Å, b = 8.1631 Å, c = 8.1631 Å
α = 90.00°, β = 90.00°, γ = 90.00°
Last column: nearest neighbours and their distance in Å.
Space group F-43m (No. 216)
Symmetry-distinct sites (fractional):
La  0.0000  0.0000  0.0000 [4 per cell]  12 Zr 3.38, 4 P 3.53
Zr  0.1267  0.1267  0.6267 [16 per cell]  6 Zr 2.85-2.93
P  0.2500  0.2500  0.2500 [4 per cell]  12 Zr 3.39, 4 La 3.53

=====

Record 4
Here is a crystal of ZrIr2Se relaxed with PBEsol from Alexandria. Energies are from meta-GGA SCAN.

crystal system	tetragonal
E	-48.462	eV per atom
uncorrected formation energy	-0.218	eV per atom
size of the total moment	0.00	μB/f.u.

a = 3.9093 Å, b = 3.9093 Å, c = 8.4713 Å
α = 90.00°, β = 90.00°, γ = 90.00°
Last column: nearest neighbours and their distance in Å.
Space group I-4m2 (No. 119)
Symmetry-distinct sites (fractional):
Zr  0.0000  0.0000  0.0000 [2 per cell]  8 Ir 2.76-2.88, 4 Se 2.88
Ir  0.0000  0.0000  0.5000 [2 per cell]  4 Zr 2.76, 4 Se 2.88, 4 Ir 2.88
Ir  0.0000  0.5000  0.2500 [2 per cell]  4 Se 2.76, 4 Zr 2.88, 4 Ir 2.88
Se  0.0000  0.5000  0.7500 [2 per cell]  8 Ir 2.76-2.88, 4 Zr 2.88

=====

Record 5
Here is a crystal of KSbBr2 relaxed with PBEsol from Alexandria. Energies are from meta-GGA SCAN.

crystal system	monoclinic
E	-21.904	eV per atom
uncorrected formation energy	-0.777	eV per atom
size of the total moment	0.00	μB/f.u.
energy above the lowest structure with this stoichiometry	0.0083	eV per atom

a = 3.7075 Å, b = 4.6233 Å, c = 7.1985 Å
α = 90.00°, β = 94.18°, γ = 90.00°
Last column: nearest neighbours and their distance in Å.
Space group P2/m (No. 10)
Symmetry-distinct sites (fractional):
K  0.0000  0.0000  0.0000 [1 per cell]  8 Br 3.46-3.48, 2 K 3.71
Sb  0.5000  0.0000  0.5000 [1 per cell]  4 Br 2.93
Br  0.4587  0.5000  0.7475 [2 per cell]  2 Sb 2.93

=====

Record 6
Here is a crystal of MnCoNi2 relaxed with PBEsol from Alexandria. Energies are from meta-GGA SCAN.

crystal system	cubic
E	-17.084	eV per atom
size of the total moment	6.73	μB/f.u.
formation energy	-0.11	eV/atom

a = 5.5821 Å, b = 5.5821 Å, c = 5.5821 Å
α = 90.00°, β = 90.00°, γ = 90.00°
Last column: nearest neighbours and their distance in Å.
Space group F-43m (No. 216)
Symmetry-distinct sites (fractional):
Mn  0.0000  0.0000  0.0000 [4 per cell]  4 Co 2.42, 4 Ni 2.42
Co  0.2500  0.2500  0.2500 [4 per cell]  4 Mn 2.42, 4 Ni 2.42
Ni  0.0000  0.0000  0.5000 [4 per cell]  4 Co 2.42, 4 Ni 2.42
Ni  0.2500  0.2500  0.7500 [4 per cell]  4 Mn 2.42, 4 Ni 2.42